VASP calculation (GGA-PBE) on a relaxed structure of KHg2Au.

Output
- E: -1.463 eV/atom
- ρ: 8.76 g/cm³
- Relative energy among the computed polymorphs: 45 meV/atom
- Fermi-level density of states: 0.6 states/eV/cell
- Formation enthalpy at 0 K: -0.218 eV per atom

Structure (CIF):
```
data_KHg2Au
_chemical_formula_sum 'K1 Hg2 Au1'
_space_group_name_H-M_alt 'P 1'
_space_group_IT_number 1
_cell_length_a 4.9312
_cell_length_b 4.9312
_cell_length_c 6.3980
_cell_angle_alpha 67.32
_cell_angle_beta 67.32
_cell_angle_gamma 60.10
loop_
_space_group_symop_operation_xyz
'x,y,z'
loop_
_atom_site_label
_atom_site_fract_x
_atom_site_fract_y
_atom_site_fract_z
Hg1 0.5363 0.5363 0.3920
Au1 0.2500 0.2500 0.2500
K1 0.7500 0.7500 0.7500
Hg2 0.9637 0.9637 0.1080
```